# CaMn2O5 (PBE with a Hubbard U, optimized geometry)
data_CaMn2O5
_chemical_formula_sum 'Ca2 Mn4 O10'
_space_group_name_H-M_alt 'P m m n'
_space_group_IT_number 59
_cell_length_a 3.694
_cell_length_b 11.561
_cell_length_c 4.666
_cell_angle_alpha 90.00
_cell_angle_beta 90.00
_cell_angle_gamma 90.00
loop_
_space_group_symop_operation_xyz
'x,y,z'
'-x,-y,-z'
'-x+1/2,-y+1/2,z'
'x+1/2,y+1/2,-z'
'x+1/2,-y,-z'
'-x+1/2,y,z'
'-x,y+1/2,-z'
'x,-y+1/2,z'
loop_
_atom_site_label
_atom_site_type_symbol
_atom_site_fract_x
_atom_site_fract_y
_atom_site_fract_z
Ca1 Ca 0.250 0.250 0.069
Mn1 Mn 0.250 0.597 0.448
O1 O 0.250 0.075 0.458
O2 O 0.250 0.627 0.080
O3 O 0.250 0.750 0.580
# E   -6.88 eV/atom
# ΔE to the lowest computed polymorph   0.000 eV/atom
# Size of the total moment   12.00 μB per cell